Density functional theory data (GGA-PBEsol) for an optimized crystal structure of TiInPt2Se.

a = 4.8738 Å, b = 4.8738 Å, c = 5.0318 Å
α = 90.00°, β = 90.00°, γ = 90.00°
With the nearest neighbours (Å) after each atom.
Atoms (fractional coordinates):
Ti  0.0000  0.0000  0.0000  4 Se 3.45, 8 Pt 3.50
In  0.5000  0.5000  0.5000  4 Pt 2.44, 2 Se 2.52
Pt  0.0000  0.5000  0.5000  2 In 2.44
Pt  0.5000  0.0000  0.5000  2 In 2.44
Se  0.5000  0.5000  0.0000  2 In 2.52

M_tot = 1.67 μB/f.u.
formation energy from raw total energies = 1.000 eV/atom



Density functional theory data (GGA-PBEsol) for an optimized crystal structure of In2PtWSe.

a = 5.2930 Å, b = 5.2930 Å, c = 4.7171 Å
α = 90.00°, β = 90.00°, γ = 90.00°
With the nearest neighbours (Å) after each atom.
Atoms (fractional coordinates):
In  0.0000  0.5000  0.0000  2 W 2.65
In  0.5000  0.0000  0.0000  2 W 2.65
Pt  0.0000  0.0000  0.5000  2 W 2.36
W  0.0000  0.0000  0.0000  2 Pt 2.36
Se  0.5000  0.5000  0.5000  8 In 3.54, 4 Pt 3.74

M_tot = 1.06 μB/f.u.
formation energy from raw total energies = 1.052 eV/atom



Density functional theory data (GGA-PBEsol) for an optimized crystal structure of InSiPt5.

a = 3.9437 Å, b = 3.9437 Å, c = 7.0339 Å
α = 90.00°, β = 90.00°, γ = 90.00°
With the nearest neighbours (Å) after each atom.
Atoms (fractional coordinates):
In  0.0000  0.0000  0.0000  12 Pt 2.79-2.86
Si  0.5000  0.5000  0.5000  8 Pt 2.44
Pt  0.0000  0.5000  0.2954  2 Si 2.44
Pt  0.0000  0.5000  0.7046  2 Si 2.44
Pt  0.5000  0.0000  0.2954  2 Si 2.44
Pt  0.5000  0.0000  0.7046  2 Si 2.44
Pt  0.5000  0.5000  0.0000  4 In 2.79, 8 Pt 2.86

M_tot = 0.00 μB/f.u.
formation energy from raw total energies = -0.548 eV/atom



Density functional theory data (GGA-PBEsol) for an optimized crystal structure of InSiPt2.

a = 2.9501 Å, b = 4.6356 Å, c = 4.9596 Å
α = 90.00°, β = 105.64°, γ = 90.00°
With the nearest neighbours (Å) after each atom.
Atoms (fractional coordinates):
In  0.0000  0.0000  0.0000  3 Pt 2.56-2.67
Si  0.3704  0.5000  0.6879  5 Pt 2.43-2.66
Pt  0.2921  0.0000  0.5352  2 Si 2.43, 3 In 2.56-2.67
Pt  0.6523  0.5000  0.2454  3 Si 2.55-2.66

M_tot = 0.00 μB/f.u.
formation energy from raw total energies = -0.341 eV/atom



Density functional theory data (GGA-PBEsol) for an optimized crystal structure of InSiPt2.

a = 4.5211 Å, b = 4.5211 Å, c = 4.5211 Å
α = 60.00°, β = 60.00°, γ = 60.00°
With the nearest neighbours (Å) after each atom.
Atoms (fractional coordinates):
In  0.0000  0.0000  0.0000  4 Pt 2.77, 4 Si 2.77
Si  0.2500  0.2500  0.2500  4 In 2.77, 4 Pt 2.77
Pt  0.5000  0.5000  0.5000  4 Pt 2.77, 4 Si 2.77
Pt  0.7500  0.7500  0.7500  4 In 2.77, 4 Pt 2.77

M_tot = 0.00 μB/f.u.
formation energy from raw total energies = -0.027 eV/atom



Density functional theory data (GGA-PBEsol) for an optimized crystal structure of InSiPt2.

a = 4.4159 Å, b = 4.4159 Å, c = 3.2616 Å
α = 90.00°, β = 90.00°, γ = 90.00°
With the nearest neighbours (Å) after each atom.
Atoms (fractional coordinates):
In  0.0000  0.0000  0.0000  8 Pt 2.74
Si  0.5000  0.5000  0.0000  8 Pt 2.74
Pt  0.0000  0.5000  0.5000  4 In 2.74, 4 Si 2.74
Pt  0.5000  0.0000  0.5000  4 In 2.74, 4 Si 2.74

M_tot = 0.00 μB/f.u.
formation energy from raw total energies = -0.244 eV/atom



Density functional theory data (GGA-PBEsol) for an optimized crystal structure of InSi3Pt.

a = 4.8690 Å, b = 4.8690 Å, c = 4.8690 Å
α = 90.00°, β = 90.00°, γ = 90.00°
With the nearest neighbours (Å) after each atom.
Atoms (fractional coordinates):
In  0.0000  0.0000  0.0000  6 Si 2.43
Si  0.0000  0.0000  0.5000  2 In 2.43
Si  0.0000  0.5000  0.0000  2 In 2.43
Si  0.5000  0.0000  0.0000  2 In 2.43
Pt  0.5000  0.5000  0.5000  12 Si 3.44

M_tot = 0.00 μB/f.u.
formation energy from raw total energies = 1.609 eV/atom



Density functional theory data (GGA-PBEsol) for an optimized crystal structure of InSiPt2.

a = 8.1077 Å, b = 8.1077 Å, c = 8.1077 Å
α = 22.57°, β = 22.57°, γ = 22.57°
With the nearest neighbours (Å) after each atom.
Atoms (fractional coordinates):
In  0.0000  0.0000  0.0000  3 Pt 2.72, 3 Si 2.94
Si  0.2363  0.2363  0.2363  3 Pt 2.35
Pt  0.5076  0.5076  0.5076  3 Si 2.35
Pt  0.7516  0.7516  0.7516  3 In 2.72, 3 Pt 2.80

M_tot = 0.00 μB/f.u.
formation energy from raw total energies = -0.142 eV/atom



Density functional theory data (GGA-PBEsol) for an optimized crystal structure of SrInPt4.

a = 5.3878 Å, b = 5.3878 Å, c = 5.3878 Å
α = 60.00°, β = 60.00°, γ = 60.00°
With the nearest neighbours (Å) after each atom.
Atoms (fractional coordinates):
Sr  0.0000  0.0000  0.0000  12 Pt 3.16, 4 In 3.30
In  0.2500  0.2500  0.2500  12 Pt 3.16, 4 Sr 3.30
Pt  0.1269  0.6244  0.6244  6 Pt 2.68-2.71
Pt  0.6244  0.1269  0.6244  6 Pt 2.68-2.71
Pt  0.6244  0.6244  0.1269  6 Pt 2.68-2.71
Pt  0.6244  0.6244  0.6244  6 Pt 2.68-2.71

M_tot = 0.00 μB/f.u.
E_tot = -36.302 eV per cell



Density functional theory data (GGA-PBEsol) for an optimized crystal structure of Sr2InPt.

a = 3.6997 Å, b = 3.6997 Å, c = 8.0618 Å
α = 90.00°, β = 90.00°, γ = 90.00°
With the nearest neighbours (Å) after each atom.
Atoms (fractional coordinates):
Sr  0.0000  0.0000  0.2158  4 Pt 3.14, 4 In 3.48, 1 Sr 3.48
Sr  0.0000  0.0000  0.7842  4 Pt 3.14, 4 In 3.48, 1 Sr 3.48
In  0.5000  0.5000  0.5000  8 Sr 3.48, 4 In 3.70
Pt  0.5000  0.5000  0.0000  8 Sr 3.14

M_tot = 0.00 μB/f.u.
E_tot = -15.734 eV per cell



Density functional theory data (GGA-PBEsol) for an optimized crystal structure of SrIn2Pt2.

a = 6.6043 Å, b = 6.6043 Å, c = 6.6043 Å
α = 141.06°, β = 141.06°, γ = 56.25°
With the nearest neighbours (Å) after each atom.
Atoms (fractional coordinates):
Sr  0.0000  0.0000  0.0000  8 Pt 3.37, 8 In 3.65
In  0.2500  0.7500  0.5000  4 Pt 2.73
In  0.7500  0.2500  0.5000  4 Pt 2.73
Pt  0.3885  0.3885  0.0000  1 Pt 2.60, 4 In 2.73
Pt  0.6115  0.6115  0.0000  1 Pt 2.60, 4 In 2.73

M_tot = 0.00 μB/f.u.
E_tot = -25.059 eV per cell



Density functional theory data (GGA-PBEsol) for an optimized crystal structure of Sr2InPt.

a = 4.4778 Å, b = 6.2467 Å, c = 6.2467 Å
α = 43.30°, β = 90.00°, γ = 90.00°
With the nearest neighbours (Å) after each atom.
Atoms (fractional coordinates):
Sr  0.0000  0.0000  0.0000  3 Pt 3.27-3.43, 4 In 3.38
Sr  0.5000  0.2913  0.2913  3 In 3.29-3.46, 4 Pt 3.32
In  0.5000  0.5894  0.5894  2 Pt 2.70
Pt  0.0000  0.7185  0.7185  2 In 2.70

M_tot = 0.00 μB/f.u.
E_tot = -15.884 eV per cell